Density functional theory data (GGA+U) for a relaxed structure of LiCrGeO4.

Lattice parameters (Å, degrees): 5.843 5.985 8.358 90.00 90.00 90.00
Space group Imma (No. 74)
Unique sites:
Li1 0.000 0.250 0.118 [4 per cell]
Cr1 0.000 0.000 0.500 [4 per cell]
Ge1 0.250 0.250 0.750 [4 per cell]
O1 0.000 0.031 0.743 [8 per cell]
O2 0.230 0.250 0.522 [8 per cell]

Computed properties:
D(E_F) ... 0.00 states/eV per cell
Energy ... -0.2490 Ha/atom
M_tot ... 0.43 μB per atom